1.
Computed, not measured: crystalline PmYAlCu at its relaxed geometry at the PBE-GGA level of DFT.

a = 5.1205 Å, b = 5.1205 Å, c = 5.1205 Å
α = 60.00°, β = 60.00°, γ = 60.00°
Fractional positions:
Pm1 0.0000 0.0000 0.0000
Y1 0.5000 0.5000 0.5000
Al1 0.2500 0.2500 0.2500
Cu1 0.7500 0.7500 0.7500

Values from the calculation:
- DFT formation energy (meV per atom) = -260
- volume (Å³ per cell) = 94.9
- VASP energy (eV for the cell shown) = -20.092
- energy above the most stable polymorph in this dataset (meV per atom) = 38
- space-group type = F-43m (216)


2.
Computed, not measured: crystalline PmAlZnCu2 at its relaxed geometry at the PBE-GGA level of DFT.

a = 6.3611 Å, b = 6.3611 Å, c = 6.3611 Å
α = 144.02°, β = 143.49°, γ = 52.19°
Fractional positions:
Pm1 0.0000 0.0000 0.0000
Al1 0.2599 0.7599 0.5000
Zn1 0.6143 0.6143 0.0000
Cu1 0.3951 0.3951 0.0000
Cu2 0.7564 0.2564 0.5000

Values from the calculation:
- DFT formation energy (meV per atom) = -283
- volume (Å³ per cell) = 89.4
- VASP energy (eV for the cell shown) = -19.374
- space-group type = Imm2 (44)


3.
Computed, not measured: crystalline Pm2AlZn3Cu4 at its relaxed geometry at the PBE-GGA level of DFT.

a = 4.0205 Å, b = 4.0205 Å, c = 11.0458 Å
α = 90.00°, β = 90.00°, γ = 90.00°
Fractional positions:
Pm1 0.0000 0.5000 0.2486
Pm2 0.5000 0.0000 0.7514
Al1 0.0000 0.0000 0.5000
Zn1 0.0000 0.5000 0.8664
Zn2 0.5000 0.0000 0.1336
Zn3 0.5000 0.5000 0.5000
Cu1 0.0000 0.0000 0.0000
Cu2 0.0000 0.5000 0.6399
Cu3 0.5000 0.0000 0.3601
Cu4 0.5000 0.5000 0.0000

Values from the calculation:
- DFT formation energy (meV per atom) = -266
- volume (Å³ per cell) = 178.5
- VASP energy (eV for the cell shown) = -36.108
- space-group type = P-4m2 (115)


4.
Computed, not measured: crystalline PmAlZnCu at its relaxed geometry at the PBE-GGA level of DFT.

a = 4.7105 Å, b = 4.7105 Å, c = 4.7105 Å
α = 60.00°, β = 60.00°, γ = 60.00°
Fractional positions:
Pm1 0.0000 0.0000 0.0000
Al1 0.5000 0.5000 0.5000
Zn1 0.7500 0.7500 0.7500
Cu1 0.2500 0.2500 0.2500

Values from the calculation:
- DFT formation energy (meV per atom) = -323
- volume (Å³ per cell) = 73.9
- VASP energy (eV for the cell shown) = -15.156
- space-group type = F-43m (216)


5.
Computed, not measured: crystalline PmAlZn3Cu at its relaxed geometry at the PBE-GGA level of DFT.

a = 7.0717 Å, b = 7.0717 Å, c = 5.7063 Å
α = 90.00°, β = 90.00°, γ = 127.37°
Fractional positions:
Pm1 0.2032 0.7968 0.7500
Pm2 0.7968 0.2032 0.2500
Al1 0.4318 0.5682 0.7500
Al2 0.5682 0.4318 0.2500
Zn1 0.1947 0.1947 0.0000
Zn2 0.1947 0.1947 0.5000
Zn3 0.3559 0.6441 0.2500
Zn4 0.6441 0.3559 0.7500
Zn5 0.8053 0.8053 0.0000
Zn6 0.8053 0.8053 0.5000
Cu1 0.1490 0.8510 0.2500
Cu2 0.8510 0.1490 0.7500

Values from the calculation:
- DFT formation energy (meV per atom) = -37
- volume (Å³ per cell) = 226.8
- VASP energy (eV for the cell shown) = -33.269
- space-group type = Cmcm (63)


6.
Computed, not measured: crystalline PmAlZn2Cu4 at its relaxed geometry at the PBE-GGA level of DFT.

a = 8.7734 Å, b = 8.7734 Å, c = 8.7734 Å
α = 27.65°, β = 27.65°, γ = 27.65°
Fractional positions:
Pm1 0.0000 0.0000 0.0000
Al1 0.5000 0.5000 0.5000
Zn1 0.2407 0.2407 0.2407
Zn2 0.7593 0.7593 0.7593
Cu1 0.1315 0.1315 0.1315
Cu2 0.4039 0.4039 0.4039
Cu3 0.5961 0.5961 0.5961
Cu4 0.8685 0.8685 0.8685

Values from the calculation:
- DFT formation energy (meV per atom) = -171
- volume (Å³ per cell) = 128.4
- VASP energy (eV for the cell shown) = -28.797
- space-group type = R-3m (166)


7.
Computed, not measured: crystalline PmAl3ZnCu at its relaxed geometry at the PBE-GGA level of DFT.

a = 7.0182 Å, b = 7.0182 Å, c = 5.8375 Å
α = 90.00°, β = 90.00°, γ = 128.00°
Fractional positions:
Pm1 0.2083 0.7917 0.7500
Pm2 0.7917 0.2083 0.2500
Al1 0.2106 0.2106 0.0000
Al2 0.2106 0.2106 0.5000
Al3 0.3648 0.6352 0.2500
Al4 0.6352 0.3648 0.7500
Al5 0.7894 0.7894 0.0000
Al6 0.7894 0.7894 0.5000
Zn1 0.1532 0.8468 0.2500
Zn2 0.8468 0.1532 0.7500
Cu1 0.4269 0.5731 0.7500
Cu2 0.5731 0.4269 0.2500

Values from the calculation:
- DFT formation energy (meV per atom) = -149
- volume (Å³ per cell) = 226.6
- VASP energy (eV for the cell shown) = -44.490
- space-group type = Cmcm (63)


8.
Computed, not measured: crystalline PmAl2Zn4Cu at its relaxed geometry at the PBE-GGA level of DFT.

a = 8.9330 Å, b = 8.9330 Å, c = 8.9330 Å
α = 27.98°, β = 27.98°, γ = 27.98°
Fractional positions:
Pm1 0.0000 0.0000 0.0000
Al1 0.2453 0.2453 0.2453
Al2 0.7547 0.7547 0.7547
Zn1 0.1328 0.1328 0.1328
Zn2 0.4011 0.4011 0.4011
Zn3 0.5989 0.5989 0.5989
Zn4 0.8672 0.8672 0.8672
Cu1 0.5000 0.5000 0.5000

Values from the calculation:
- DFT formation energy (meV per atom) = -179
- volume (Å³ per cell) = 138.6
- VASP energy (eV for the cell shown) = -22.857
- space-group type = R-3m (166)


- Among the records above, which one has the highest volume?
  PmAlZn3Cu


- Which formula does entry 3 have?
  Pm2AlZn3Cu4


Repeat the sixth record exactly.
Computed, not measured: crystalline PmAlZn2Cu4 at its relaxed geometry at the PBE-GGA level of DFT.

a = 8.7734 Å, b = 8.7734 Å, c = 8.7734 Å
α = 27.65°, β = 27.65°, γ = 27.65°
Fractional positions:
Pm1 0.0000 0.0000 0.0000
Al1 0.5000 0.5000 0.5000
Zn1 0.2407 0.2407 0.2407
Zn2 0.7593 0.7593 0.7593
Cu1 0.1315 0.1315 0.1315
Cu2 0.4039 0.4039 0.4039
Cu3 0.5961 0.5961 0.5961
Cu4 0.8685 0.8685 0.8685

Values from the calculation:
- DFT formation energy (meV per atom) = -171
- volume (Å³ per cell) = 128.4
- VASP energy (eV for the cell shown) = -28.797
- space-group type = R-3m (166)


- DFT formation energy of number 4 (PmAlZnCu)?
  -323 meV per atom